[1]
Density functional theory data (PBE) for a geometry-optimized Li2Cr2Sb structure.

Results
As for the density of states at the Fermi level: 1.88 states/eV per cell. The space-group type is I4/mmm. The spin magnetization comes out at 2.99 μB per formula unit. For the uncorrected energy, the calculation gives -4.827 eV per atom. The uncorrected formation energy comes out at 612 meV/atom.

abc: 6.9759 6.9759 6.9759
angles: 149.01 149.01 44.40
Fractional positions:
Li 0.2500 0.7500 0.5000
Li 0.7500 0.2500 0.5000
Cr 0.0759 0.0759 0.0000
Cr 0.9241 0.9241 0.0000
Sb 0.5000 0.5000 0.0000

[2]
Density functional theory data (PBE) for a geometry-optimized Rb3BaO structure.

Results
As for the density of states at the Fermi level: 3.36 states/eV per cell. The space-group type is Pm-3m. The spin magnetization comes out at 1.03 μB per formula unit. For the uncorrected energy, the calculation gives -2.180 eV per atom. The uncorrected formation energy comes out at -224 meV/atom.

abc: 6.1489 6.1489 6.1489
angles: 90.00 90.00 90.00
Fractional positions:
Rb 0.0000 0.0000 0.5000
Rb 0.0000 0.5000 0.0000
Rb 0.5000 0.0000 0.0000
Ba 0.5000 0.5000 0.5000
O 0.0000 0.0000 0.0000

[3]
Density functional theory data (PBE) for a geometry-optimized SrCrMo2 structure.

Results
As for the density of states at the Fermi level: 3.71 states/eV per cell. The space-group type is F-43m. The spin magnetization comes out at 3.25 μB per formula unit. For the uncorrected energy, the calculation gives -7.201 eV per atom. The formation energy comes out at 4.16 eV per formula unit.

abc: 4.7598 4.7598 4.7598
angles: 60.00 60.00 60.00
Fractional positions:
Sr 0.0000 0.0000 0.0000
Cr 0.2500 0.2500 0.2500
Mo 0.5000 0.5000 0.5000
Mo 0.7500 0.7500 0.7500

[4]
Density functional theory data (PBE) for a geometry-optimized Zr2InC structure.

Results
As for the density of states at the Fermi level: 1.91 states/eV per cell. The space-group type is P6_3/mmc. The spin magnetization comes out at 0.00 μB per formula unit. For the uncorrected energy, the calculation gives -7.962 eV per atom. The formation energy comes out at -2.79 eV per formula unit.

abc: 3.3739 3.3739 15.1402
angles: 90.00 90.00 120.00
Fractional positions:
Zr 0.3333 0.6667 0.0819
Zr 0.3333 0.6667 0.4181
Zr 0.6667 0.3333 0.5819
Zr 0.6667 0.3333 0.9181
In 0.3333 0.6667 0.7500
In 0.6667 0.3333 0.2500
C 0.0000 0.0000 0.0000
C 0.0000 0.0000 0.5000

[5]
Density functional theory data (PBE) for a geometry-optimized CaRe2OsS structure.

Results
As for the density of states at the Fermi level: 7.21 states/eV per cell. The space-group type is P4/mmm. The spin magnetization comes out at 2.20 μB per formula unit. For the uncorrected energy, the calculation gives -4.827 eV per atom. The uncorrected formation energy comes out at 3624 meV/atom.

abc: 4.7132 4.7132 4.6714
angles: 90.00 90.00 90.00
Fractional positions:
Ca 0.0000 0.0000 0.0000
Re 0.0000 0.5000 0.0000
Re 0.5000 0.0000 0.0000
Os 0.0000 0.0000 0.5000
S 0.5000 0.5000 0.5000

[6]
Density functional theory data (PBE) for a geometry-optimized PmNd3Er7 structure.

Results
As for the density of states at the Fermi level: 15.53 states/eV per cell. The space-group type is Immm. The spin magnetization comes out at 0.00 μB per formula unit. For the uncorrected energy, the calculation gives -4.373 eV per atom. The formation energy comes out at 2.89 eV per formula unit.

abc: 8.4356 8.4356 8.4356
angles: 139.61 97.04 96.65
Fractional positions:
Pm 0.0000 0.0000 0.0000
Nd 0.2880 0.7880 0.5000
Nd 0.5000 0.5000 0.0000
Nd 0.7120 0.2120 0.5000
Er 0.0000 0.5000 0.5000
Er 0.0961 0.3064 0.7897
Er 0.2948 0.0000 0.2948
Er 0.4833 0.6936 0.7897
Er 0.5167 0.3064 0.2103
Er 0.7052 0.0000 0.7052
Er 0.9039 0.6936 0.2103

[7]
Density functional theory data (PBE) for a geometry-optimized LiCo2TeC structure.

Results
As for the density of states at the Fermi level: 4.54 states/eV per cell. The space-group type is P4/mmm. The spin magnetization comes out at 1.14 μB per formula unit. For the uncorrected energy, the calculation gives -5.302 eV per atom. The uncorrected formation energy comes out at 396 meV/atom.

abc: 3.7589 3.7589 4.9692
angles: 90.00 90.00 90.00
Fractional positions:
Li 0.0000 0.0000 0.0000
Co 0.0000 0.5000 0.5000
Co 0.5000 0.0000 0.5000
Te 0.5000 0.5000 0.0000
C 0.5000 0.5000 0.5000

[8]
Density functional theory data (PBE) for a geometry-optimized Ho4Zn2N structure.

Results
As for the density of states at the Fermi level: 6.14 states/eV per cell. The space-group type is I4/mmm. The spin magnetization comes out at 0.00 μB per formula unit. For the uncorrected energy, the calculation gives -4.768 eV per atom. The uncorrected formation energy comes out at -599 meV/atom.

abc: 7.8013 7.8013 7.8013
angles: 144.63 144.63 50.88
Fractional positions:
Ho 0.0000 0.5000 0.5000
Ho 0.1736 0.1736 0.0000
Ho 0.5000 0.0000 0.5000
Ho 0.8264 0.8264 0.0000
Zn 0.3749 0.3749 0.0000
Zn 0.6251 0.6251 0.0000
N 0.0000 0.0000 0.0000

[9]
Density functional theory data (PBE) for a geometry-optimized Ho2CoP3Ir4 structure.

Results
As for the density of states at the Fermi level: 4.53 states/eV per cell. The space-group type is P-4m2. The spin magnetization comes out at 1.47 μB per formula unit. For the uncorrected energy, the calculation gives -7.667 eV per atom. The formation energy comes out at -8.73 eV per formula unit.

abc: 4.0489 4.0489 9.8164
angles: 90.00 90.00 90.00
Fractional positions:
Ho 0.0000 0.5000 0.2451
Ho 0.5000 0.0000 0.7549
Co 0.5000 0.5000 0.0000
P 0.0000 0.0000 0.0000
P 0.0000 0.5000 0.6392
P 0.5000 0.0000 0.3608
Ir 0.0000 0.0000 0.5000
Ir 0.0000 0.5000 0.8706
Ir 0.5000 0.0000 0.1294
Ir 0.5000 0.5000 0.5000

[10]
Density functional theory data (PBE) for a geometry-optimized Y2SiAu structure.

Results
As for the density of states at the Fermi level: 2.38 states/eV per cell. The space-group type is Amm2. The spin magnetization comes out at 0.00 μB per formula unit. For the uncorrected energy, the calculation gives -6.234 eV per atom. The uncorrected formation energy comes out at -827 meV/atom.

abc: 4.2394 5.8024 5.8024
angles: 41.27 90.00 90.00
Fractional positions:
Y 0.0000 0.0000 0.0000
Y 0.5000 0.2808 0.2808
Si 0.0000 0.7221 0.7221
Au 0.5000 0.5625 0.5625

[11]
Density functional theory data (PBE) for a geometry-optimized Pm4Ho5Tm4 structure.

Results
As for the density of states at the Fermi level: 18.31 states/eV per cell. The space-group type is I4/m. The spin magnetization comes out at 0.00 μB per formula unit. For the uncorrected energy, the calculation gives -4.577 eV per atom. The formation energy comes out at 0.28 eV per formula unit.

abc: 9.4015 9.4015 9.4015
angles: 94.07 94.07 149.09
Fractional positions:
Pm 0.0782 0.6177 0.6959
Pm 0.3823 0.0782 0.4605
Pm 0.6177 0.9218 0.5395
Pm 0.9218 0.3823 0.3041
Ho 0.0000 0.0000 0.0000
Ho 0.3102 0.4606 0.7708
Ho 0.4606 0.6898 0.1503
Ho 0.5394 0.3102 0.8497
Ho 0.6898 0.5394 0.2292
Tm 0.1533 0.2297 0.3830
Tm 0.2297 0.8467 0.0763
Tm 0.7703 0.1533 0.9237
Tm 0.8467 0.7703 0.6170

[12]
Density functional theory data (PBE) for a geometry-optimized Zn2HgCl6 structure.

Results
As for the density of states at the Fermi level: 0.00 states/eV per cell. The space-group type is C2/c. The spin magnetization comes out at 0.00 μB per formula unit. For the uncorrected energy, the calculation gives -2.494 eV per atom. The uncorrected formation energy comes out at -946 meV/atom.

abc: 9.6325 9.6325 6.4546
angles: 107.63 107.63 88.51
Fractional positions:
Zn 0.1326 0.2896 0.3161
Zn 0.2896 0.1326 0.8161
Zn 0.7104 0.8674 0.1839
Zn 0.8674 0.7104 0.6839
Hg 0.2907 0.7093 0.7500
Hg 0.7093 0.2907 0.2500
Cl 0.0883 0.2210 0.6024
Cl 0.0904 0.6574 0.8965
Cl 0.2210 0.0883 0.1024
Cl 0.2969 0.4807 0.4096
Cl 0.3426 0.9096 0.6035
Cl 0.4807 0.2969 0.9096
Cl 0.5193 0.7031 0.0904
Cl 0.6574 0.0904 0.3965
Cl 0.7031 0.5193 0.5904
Cl 0.7790 0.9117 0.8976
Cl 0.9096 0.3426 0.1035
Cl 0.9117 0.7790 0.3976

[13]
Density functional theory data (PBE) for a geometry-optimized MgAgRu2 structure.

Results
As for the density of states at the Fermi level: 2.60 states/eV per cell. The space-group type is Pmm2. The spin magnetization comes out at 0.00 μB per formula unit. For the uncorrected energy, the calculation gives -5.634 eV per atom. The formation energy comes out at 0.46 eV per formula unit.

abc: 2.8449 3.7646 5.8933
angles: 90.00 90.00 90.00
Fractional positions:
Mg 0.0000 0.0000 0.0000
Ag 0.5000 0.5000 0.7572
Ru 0.0000 0.0000 0.4618
Ru 0.5000 0.5000 0.2798

[14]
Density functional theory data (PBE) for a geometry-optimized ScTi2Pb2 structure.

Results
As for the density of states at the Fermi level: 14.01 states/eV per cell. The space-group type is P4/mbm. The spin magnetization comes out at 0.00 μB per formula unit. For the uncorrected energy, the calculation gives -5.921 eV per atom. The formation energy comes out at -0.07 eV per formula unit.

abc: 7.7181 7.7181 3.7022
angles: 90.00 90.00 90.00
Fractional positions:
Sc 0.0000 0.0000 0.0000
Sc 0.5000 0.5000 0.0000
Ti 0.1538 0.3462 0.5000
Ti 0.3462 0.8462 0.5000
Ti 0.6538 0.1538 0.5000
Ti 0.8462 0.6538 0.5000
Pb 0.1460 0.6460 0.0000
Pb 0.3540 0.1460 0.0000
Pb 0.6460 0.8540 0.0000
Pb 0.8540 0.3540 0.0000

[15]
Density functional theory data (PBE) for a geometry-optimized TaTl4Si structure.

Results
As for the density of states at the Fermi level: 3.82 states/eV per cell. The space-group type is F-43m. The spin magnetization comes out at 0.00 μB per formula unit. For the uncorrected energy, the calculation gives -3.341 eV per atom. The uncorrected formation energy comes out at 1116 meV/atom.

abc: 5.9951 5.9951 5.9951
angles: 60.00 60.00 60.00
Fractional positions:
Ta 0.0000 0.0000 0.0000
Tl 0.1243 0.6252 0.6252
Tl 0.6252 0.1243 0.6252
Tl 0.6252 0.6252 0.1243
Tl 0.6252 0.6252 0.6252
Si 0.2500 0.2500 0.2500

[16]
Density functional theory data (PBE) for a geometry-optimized Tb2SmEr8 structure.

Results
As for the density of states at the Fermi level: 14.43 states/eV per cell. The space-group type is C2/m. The spin magnetization comes out at 0.00 μB per formula unit. For the uncorrected energy, the calculation gives -4.568 eV per atom. The formation energy comes out at 0.23 eV per formula unit.

abc: 9.3291 9.3291 7.8862
angles: 104.70 104.70 30.97
Fractional positions:
Tb 0.2276 0.2276 0.1367
Tb 0.7724 0.7724 0.8633
Sm 0.5000 0.5000 0.5000
Er 0.0453 0.0453 0.2265
Er 0.1367 0.1367 0.6819
Er 0.3181 0.3181 0.5917
Er 0.4092 0.4092 0.0442
Er 0.5908 0.5908 0.9558
Er 0.6819 0.6819 0.4083
Er 0.8633 0.8633 0.3181
Er 0.9547 0.9547 0.7735

[17]
Density functional theory data (PBE) for a geometry-optimized La6Rh2AuBr3 structure.

Results
As for the density of states at the Fermi level: 9.28 states/eV per cell. The space-group type is C2/m. The spin magnetization comes out at 0.00 μB per formula unit. For the uncorrected energy, the calculation gives -5.522 eV per atom. The uncorrected formation energy comes out at -1142 meV/atom.

abc: 7.3890 7.3890 8.2713
angles: 98.54 98.54 120.03
Fractional positions:
La 0.0830 0.4331 0.7999
La 0.2165 0.2165 0.2001
La 0.4331 0.0830 0.7999
La 0.5669 0.9170 0.2001
La 0.7835 0.7835 0.7999
La 0.9170 0.5669 0.2001
Rh 0.1667 0.8333 0.0000
Rh 0.8333 0.1667 0.0000
Au 0.5000 0.5000 0.0000
Br 0.0000 0.0000 0.5000
Br 0.3331 0.6669 0.5000
Br 0.6669 0.3331 0.5000

[18]
Density functional theory data (PBE) for a geometry-optimized Rb4Pm3GeO8 structure.

Results
As for the density of states at the Fermi level: 1.73 states/eV per cell. The space-group type is R-3m. The spin magnetization comes out at 0.00 μB per formula unit. For the uncorrected energy, the calculation gives -6.080 eV per atom. The uncorrected formation energy comes out at -2180 meV/atom.

abc: 7.7564 7.7564 7.7564
angles: 54.63 54.63 54.63
Fractional positions:
Rb 0.0000 0.0000 0.0000
Rb 0.0000 0.5000 0.5000
Rb 0.5000 0.0000 0.5000
Rb 0.5000 0.5000 0.0000
Pm 0.0000 0.0000 0.5000
Pm 0.0000 0.5000 0.0000
Pm 0.5000 0.0000 0.0000
Ge 0.5000 0.5000 0.5000
O 0.2270 0.2270 0.2270
O 0.2413 0.7178 0.7178
O 0.2822 0.2822 0.7587
O 0.2822 0.7587 0.2822
O 0.7178 0.2413 0.7178
O 0.7178 0.7178 0.2413
O 0.7587 0.2822 0.2822
O 0.7730 0.7730 0.7730

[19]
Density functional theory data (PBE) for a geometry-optimized MgTl4W structure.

Results
As for the density of states at the Fermi level: 4.38 states/eV per cell. The space-group type is F-43m. The spin magnetization comes out at 4.09 μB per formula unit. For the uncorrected energy, the calculation gives -2.938 eV per atom. The formation energy comes out at 6.39 eV per formula unit.

abc: 6.2166 6.2166 6.2166
angles: 60.00 60.00 60.00
Fractional positions:
Mg 0.0000 0.0000 0.0000
Tl 0.1263 0.6246 0.6246
Tl 0.6246 0.1263 0.6246
Tl 0.6246 0.6246 0.1263
Tl 0.6246 0.6246 0.6246
W 0.2500 0.2500 0.2500

[20]
Density functional theory data (PBE) for a geometry-optimized FeNi2Ru structure.

Results
As for the density of states at the Fermi level: 5.35 states/eV per cell. The space-group type is Pmm2. The spin magnetization comes out at 4.00 μB per formula unit. For the uncorrected energy, the calculation gives -7.263 eV per atom. The formation energy comes out at 0.25 eV per formula unit.

abc: 2.5542 4.1630 4.5113
angles: 90.00 90.00 90.00
Fractional positions:
Fe 0.0000 0.0000 0.0000
Ni 0.5000 0.0000 0.5073
Ni 0.5000 0.5000 0.8273
Ru 0.0000 0.5000 0.3334